CsErHg2: optimized geometry, GGA-PBE.

## Properties
- E (eV/atom) = -1.73
- space group = P4/mmm (123)
- crystal system = tetragonal
- formation energy from the elements (eV per atom) = -0.22
- density of states at the Fermi level (states/eV/cell) = 5.009

Cell lengths 3.8369, 3.8369, 8.9565 Å; angles 90.00, 90.00, 90.00 degrees
Last column: nearest neighbours and their distance in Å.
Fractional coordinates of all 4 atoms:
Cs 0.0000 0.0000 0.0000  4 Cs 3.84, 8 Hg 3.93
Er 0.0000 0.0000 0.5000  8 Hg 3.17
Hg 0.5000 0.5000 0.3174  4 Er 3.17, 1 Hg 3.27
Hg 0.5000 0.5000 0.6826  4 Er 3.17, 1 Hg 3.27